Entry 1:
HfMnZn11 | PBE-GGA | optimized geometry

The structure belongs to space group C2/m (No. 12); the cell edges are 5.216, 12.313 and 6.632 Å and the angles 90.00°, 112.46° and 90.00°. The distinct sites, in fractional coordinates, are Hf at (0.000, 0.000, 0.000), Mn at (0.000, 0.000, 0.500), Zn at (0.000, 0.500, 0.500), Zn at (0.109, 0.394, 0.213), Zn at (0.164, 0.172, 0.350) and Zn at (0.250, 0.250, 0.000).

The calculation puts the density of states at the Fermi level at 9.804 states/eV/cell. The calculated formation energy is -1.12 kcal/mol of atoms. The calculation puts the electronic total energy at -67.535 eV/cell.



Entry 2:
Hf4MnZn | PBE-GGA | optimized geometry

The structure belongs to space group C2/m (No. 12); the cell edges are 6.260, 6.260 and 6.414 Å and the angles 90.00°, 90.09° and 90.00°. The distinct sites, in fractional coordinates, are Hf at (0.250, 0.250, 0.232), Mn at (0.000, 0.000, 0.000) and Zn at (0.000, 0.500, 0.500).

The calculation puts the density of states at the Fermi level at 11.660 states/eV/cell. The calculated formation energy is 4.31 kcal/mol of atoms. The calculation puts the electronic total energy at -98.270 eV/cell.



Entry 3:
Hf5Mn4Zn | PBE-GGA | optimized geometry

The structure belongs to space group P4/mmm (No. 123); the cell edges are 3.182, 3.182 and 16.163 Å and the angles 90.00°, 90.00° and 90.00°. The distinct sites, in fractional coordinates, are Hf at (0.000, 0.000, 0.000), Hf at (0.000, 0.000, 0.197), Hf at (0.000, 0.000, 0.387), Mn at (0.500, 0.500, 0.097), Mn at (0.500, 0.500, 0.296) and Zn at (0.500, 0.500, 0.500).

The calculation puts the density of states at the Fermi level at 11.312 states/eV/cell. The calculated formation energy is -3.72 kcal/mol of atoms. The calculation puts the electronic total energy at -89.331 eV/cell.



Entry 4:
Hf2MnZn | PBE-GGA | optimized geometry

The structure belongs to space group P4/mmm (No. 123); the cell edges are 3.215, 3.215 and 6.580 Å and the angles 90.00°, 90.00° and 90.00°. The distinct sites, in fractional coordinates, are Hf at (0.000, 0.000, 0.231), Mn at (0.500, 0.500, 0.000) and Zn at (0.500, 0.500, 0.500).

The calculation puts the density of states at the Fermi level at 2.472 states/eV/cell. The calculated formation energy is -4.95 kcal/mol of atoms. The calculation puts the electronic total energy at -31.208 eV/cell.



Entry 5:
Hf6Mn2Zn | PBE-GGA | optimized geometry

The structure belongs to space group Immm (No. 71); the cell edges are 8.578, 8.639 and 9.329 Å and the angles 90.00°, 90.00° and 90.00°. The distinct sites, in fractional coordinates, are Hf at (0.000, 0.191, 0.176), Hf at (0.190, 0.224, 0.500), Hf at (0.201, 0.500, 0.257), Mn at (0.000, 0.000, 0.389), Mn at (0.171, 0.000, 0.000), Zn at (0.000, 0.500, 0.000) and Zn at (0.000, 0.500, 0.500).

The calculation puts the density of states at the Fermi level at 37.746 states/eV/cell. The calculated formation energy is -1.92 kcal/mol of atoms. The calculation puts the electronic total energy at -320.328 eV/cell.



Entry 6:
HfMnZn17 | PBE-GGA | optimized geometry

The structure belongs to space group R3m (No. 160, hexagonal axes); the cell edges are 8.7632, 8.7632 and 13.1931 Å and the angles 90.00°, 90.00° and 120.00°. The distinct sites, in fractional coordinates, are Hf at (0.0000, 0.0000, 0.0000), Mn at (0.0000, 0.0000, 0.2696), Zn at (0.0000, 0.0000, 0.5662), Zn at (0.0000, 0.0000, 0.7658), Zn at (0.0118, 0.5059, 0.8199), Zn at (0.0195, 0.3418, 0.3310), Zn at (0.1691, 0.3382, 0.5036) and Zn at (0.1703, 0.3406, 0.8370).

The calculation puts the density of states at the Fermi level at 13.420 states/eV/cell. The calculated formation energy is 0.13 kcal/mol of atoms. The calculation puts the electronic total energy at -122.009 eV/cell.



Entry 7:
HfMnZn3 | PBE-GGA | optimized geometry

The structure belongs to space group Pm-3m (No. 221); the cell edges are 5.134, 5.134 and 5.134 Å and the angles 90.00°, 90.00° and 90.00°. The distinct sites, in fractional coordinates, are Hf at (0.000, 0.000, 0.000), Mn at (0.500, 0.500, 0.500) and Zn at (0.000, 0.000, 0.500).

The calculation puts the density of states at the Fermi level at 6.068 states/eV/cell. The calculated formation energy is 28.75 kcal/mol of atoms. The calculation puts the electronic total energy at -16.711 eV/cell.



Entry 8:
Hf2Mn2Zn | PBE-GGA | optimized geometry

The structure belongs to space group P4/mbm (No. 127); the cell edges are 6.394, 6.394 and 3.968 Å and the angles 90.00°, 90.00° and 90.00°. The distinct sites, in fractional coordinates, are Hf at (0.183, 0.317, 0.000), Mn at (0.113, 0.613, 0.500) and Zn at (0.000, 0.000, 0.500).

The calculation puts the density of states at the Fermi level at 10.920 states/eV/cell. The calculated formation energy is -1.66 kcal/mol of atoms. The calculation puts the electronic total energy at -79.760 eV/cell.



Entry 9:
HfMn2Zn2 | PBE-GGA | optimized geometry

The structure belongs to space group I4/mmm (No. 139); the cell edges are 3.530, 3.530 and 11.649 Å and the angles 90.00°, 90.00° and 90.00°. The distinct sites, in fractional coordinates, are Hf at (0.000, 0.000, 0.000), Mn at (0.000, 0.500, 0.250) and Zn at (0.000, 0.000, 0.397).

The calculation puts the density of states at the Fermi level at 15.494 states/eV/cell. The calculated formation energy is 4.75 kcal/mol of atoms. The calculation puts the electronic total energy at -59.621 eV/cell.



Entry 10:
HfMn2Zn2 | PBE-GGA | optimized geometry

The structure belongs to space group P4/mbm (No. 127); the cell edges are 7.250, 7.250 and 2.844 Å and the angles 90.00°, 90.00° and 90.00°. The distinct sites, in fractional coordinates, are Hf at (0.000, 0.000, 0.000), Mn at (0.123, 0.377, 0.000) and Zn at (0.172, 0.672, 0.500).

The calculation puts the density of states at the Fermi level at 10.632 states/eV/cell. The calculated formation energy is 2.42 kcal/mol of atoms. The calculation puts the electronic total energy at -60.633 eV/cell.



Entry 11:
Hf2MnZn | PBE-GGA | optimized geometry

The structure belongs to space group I-42d (No. 122); the cell edges are 4.077, 4.077 and 19.009 Å and the angles 90.00°, 90.00° and 90.00°. The distinct sites, in fractional coordinates, are Hf at (0.246, 0.250, 0.125), Mn at (0.000, 0.000, 0.000) and Zn at (0.000, 0.000, 0.500).

The calculation puts the density of states at the Fermi level at 17.920 states/eV/cell. The calculated formation energy is 13.08 kcal/mol of atoms. The calculation puts the electronic total energy at -112.324 eV/cell.



Entry 12:
Hf3ZrMn | PBE-GGA | optimized geometry

The structure belongs to space group Pm-3m (No. 221); the cell edges are 4.810, 4.810 and 4.810 Å and the angles 90.00°, 90.00° and 90.00°. The distinct sites, in fractional coordinates, are Hf at (0.000, 0.000, 0.500), Zr at (0.500, 0.500, 0.500) and Mn at (0.000, 0.000, 0.000).

The calculation puts the density of states at the Fermi level at 8.035 states/eV/cell. The calculated formation energy is 7.90 kcal/mol of atoms. The calculation puts the electronic total energy at -45.865 eV/cell.